# 1
The following is a DFT calculation (PBE) of a relaxed BaTiS2O8 crystal.

Lattice parameters (Å, degrees): 5.219 5.219 7.653 90.00 90.00 120.00
Element x y z (fractional)
Ba 0.000 0.000 0.000
Ti 0.000 0.000 0.500
S 0.333 0.667 0.745
S 0.667 0.333 0.255
O 0.132 0.358 0.684
O 0.226 0.868 0.684
O 0.333 0.667 0.939
O 0.358 0.226 0.316
O 0.642 0.774 0.684
O 0.667 0.333 0.061
O 0.774 0.132 0.316
O 0.868 0.642 0.316

Calculated values
As for the crystal system: trigonal. As for the uncorrected formation energy: -184.4 kJ per mole of atoms. The space group is P-3 (147).

---

# 2
The following is a DFT calculation (PBE) of a relaxed Ba2NaLi16 crystal.

Lattice parameters (Å, degrees): 7.999 7.999 7.999 82.77 82.77 82.77
Element x y z (fractional)
Ba 0.000 0.000 0.000
Ba 0.305 0.305 0.305
Na 0.746 0.746 0.746
Li 0.160 0.647 0.647
Li 0.313 0.313 0.792
Li 0.313 0.792 0.313
Li 0.359 0.649 0.941
Li 0.359 0.941 0.649
Li 0.501 0.993 0.993
Li 0.554 0.554 0.554
Li 0.647 0.160 0.647
Li 0.647 0.647 0.160
Li 0.649 0.359 0.941
Li 0.649 0.941 0.359
Li 0.792 0.313 0.313
Li 0.941 0.359 0.649
Li 0.941 0.649 0.359
Li 0.993 0.501 0.993
Li 0.993 0.993 0.501

Calculated values
As for the crystal system: trigonal. The calculation puts the formation energy at 0.03 eV per atom. The space group is R3m (160).

---

# 3
The following is a DFT calculation (PBE) of a relaxed CaFe3H crystal.

Lattice parameters (Å, degrees): 4.691 4.691 4.691 90.00 90.00 90.00
Element x y z (fractional)
Ca 0.000 0.000 0.000
Fe 0.000 0.000 0.500
Fe 0.000 0.500 0.000
Fe 0.500 0.000 0.000
H 0.500 0.500 0.500

Calculated values
The value obtained for the energy above the most stable polymorph in this dataset is 2.118 eV per atom. As for the crystal system: cubic. The space group is Pm-3m (221).